[1]
The following is a GGA-PBE calculation of a geometry-optimized TbHoGa2Cu2 structure, from Alexandria.

Output
Its formation energy is -0.50 eV/atom. The total moment is 0.00 μB/cell. The space group is P-3m1 (164).

Cell lengths 4.357, 4.357, 7.077 Å; angles 90.00, 90.00, 120.00 degrees
Atoms (fractional coordinates):
Tb 0.000 0.000 0.000
Ho 0.000 0.000 0.500
Ga 0.333 0.667 0.254
Ga 0.667 0.333 0.746
Cu 0.333 0.667 0.744
Cu 0.667 0.333 0.256

[2]
The following is a GGA-PBE calculation of a geometry-optimized TbHfHg structure, from Alexandria.

Output
Its formation energy is -0.14 eV/atom. The total moment is 0.00 μB/cell. The space group is P4/nmm (129). The energy above the lowest structure with this stoichiometry comes out at 4 meV per atom.

Cell lengths 4.465, 4.465, 7.694 Å; angles 90.00, 90.00, 90.00 degrees
Atoms (fractional coordinates):
Tb 0.250 0.250 0.158
Tb 0.750 0.750 0.842
Hf 0.250 0.750 0.500
Hf 0.750 0.250 0.500
Hg 0.250 0.250 0.761
Hg 0.750 0.750 0.239

[3]
The following is a GGA-PBE calculation of a geometry-optimized DyHo4Hg structure, from Alexandria.

Output
Its formation energy is -0.04 eV/atom. The total moment is 0.00 μB/cell. The space group is C2/c (15). The energy above the lowest structure with this stoichiometry comes out at 99 meV per atom.

Cell lengths 8.164, 8.164, 6.321 Å; angles 99.86, 99.86, 115.91 degrees
Atoms (fractional coordinates):
Dy 0.093 0.907 0.750
Dy 0.907 0.093 0.250
Ho 0.098 0.338 0.876
Ho 0.213 0.590 0.456
Ho 0.338 0.098 0.376
Ho 0.410 0.787 0.044
Ho 0.590 0.213 0.956
Ho 0.662 0.902 0.624
Ho 0.787 0.410 0.544
Ho 0.902 0.662 0.124
Hg 0.499 0.501 0.750
Hg 0.501 0.499 0.250

[4]
The following is a GGA-PBE calculation of a geometry-optimized SrCoSi2 structure, from Alexandria.

Output
The total moment is 0.00 μB/cell. The space group is I4_1/amd (141). The value obtained for the total energy is -5.20 eV/atom.

Cell lengths 8.031, 8.031, 8.031 Å; angles 143.87, 143.87, 52.02 degrees
Atoms (fractional coordinates):
Sr 0.375 0.625 0.750
Sr 0.625 0.375 0.250
Co 0.125 0.875 0.250
Co 0.875 0.125 0.750
Si 0.000 0.000 0.000
Si 0.000 0.000 0.500
Si 0.000 0.500 0.000
Si 0.500 0.000 0.500

[5]
The following is a GGA-PBE calculation of a geometry-optimized CeMgSc2In4 structure, from Alexandria.

Output
Its formation energy is -0.30 eV/atom. The total moment is 0.78 μB/cell. The space group is R-3m (166).

Cell lengths 9.209, 9.209, 9.209 Å; angles 32.12, 32.12, 32.12 degrees
Atoms (fractional coordinates):
Ce 0.000 0.000 0.000
Mg 0.500 0.500 0.500
Sc 0.246 0.246 0.246
Sc 0.754 0.754 0.754
In 0.127 0.127 0.127
In 0.380 0.380 0.380
In 0.620 0.620 0.620
In 0.873 0.873 0.873

[6]
The following is a GGA-PBE calculation of a geometry-optimized Sb4WBr structure, from Alexandria.

Output
The total moment is 3.34 μB/cell. The space group is F-43m (216). The value obtained for the total energy is -4.14 eV/atom.

Cell lengths 6.167, 6.167, 6.167 Å; angles 60.00, 60.00, 60.00 degrees
Atoms (fractional coordinates):
Sb 0.376 0.376 0.376
Sb 0.376 0.376 0.872
Sb 0.376 0.872 0.376
Sb 0.872 0.376 0.376
W 0.000 0.000 0.000
Br 0.750 0.750 0.750

[7]
The following is a GGA-PBE calculation of a geometry-optimized KNa2UF6 structure, from Alexandria.

Output
The total moment is 2.99 μB/cell. The space group is R3 (146). The value obtained for the total energy is -5.62 eV/atom.

Cell lengths 6.383, 6.383, 6.383 Å; angles 57.48, 57.48, 57.48 degrees
Atoms (fractional coordinates):
K 0.000 0.000 0.000
Na 0.273 0.273 0.273
Na 0.781 0.781 0.781
U 0.487 0.487 0.487
F 0.089 0.445 0.620
F 0.182 0.882 0.560
F 0.445 0.620 0.089
F 0.560 0.182 0.882
F 0.620 0.089 0.445
F 0.882 0.560 0.182

Which of these has the highest total moment?
Sb4WBr

What is the total moment in the sixth record?
3.34 μB/cell

Among the records above, which one has the highest total moment?
Sb4WBr